Record 1
DFT (PBE) results for a geometry-optimized AcGd2Cd structure.

Values from the calculation:
calculated volume = 129.6 Å³/f.u.
Fermi-level density of states = 1.1711 states/eV/atom
magnetic moment = 3.79 μB per atom
energy of formation = -147.6 meV per atom
ρ = 8.38 g/cm3
raw total energy = -33.8 eV per cell
E above lowest polymorph = 0.00 kJ/mol of atoms

The structure in CIF format:
```
data_AcGd2Cd
_space_group_name_H-M_alt 'P 4/m m m'
_space_group_IT_number 123
_space_group_name_Hall '-P 4 2'
_cell_length_a 3.7812
_cell_length_b 3.7812
_cell_length_c 9.0637
_cell_angle_alpha 90.00
_cell_angle_beta 90.00
_cell_angle_gamma 90.00
loop_
_atom_site_label
_atom_site_fract_x
_atom_site_fract_y
_atom_site_fract_z
Ac1 0.0000 0.0000 0.0000
Gd1 0.5000 0.5000 0.2908
Cd1 0.0000 0.0000 0.5000
```

***

Record 2
DFT (PBE) results for a geometry-optimized BSbAs2Se structure.

Values from the calculation:
calculated volume = 150.2 Å³/f.u.
Fermi-level density of states = 1.0805 states/eV/atom
formation energy (no corrections) = 1.689 eV per atom
magnetic moment = 0.16 μB per atom
ρ = 3.99 g/cm3
raw total energy = -15.1 eV per cell
E above lowest polymorph = 101.09 kJ/mol of atoms

The structure in CIF format:
```
data_BSbAs2Se
_space_group_name_H-M_alt 'P 4/m m m'
_space_group_IT_number 123
_space_group_name_Hall '-P 4 2'
_cell_length_a 5.2929
_cell_length_b 5.2929
_cell_length_c 5.3622
_cell_angle_alpha 90.00
_cell_angle_beta 90.00
_cell_angle_gamma 90.00
loop_
_atom_site_label
_atom_site_fract_x
_atom_site_fract_y
_atom_site_fract_z
B1 0.0000 0.0000 0.0000
Sb1 0.5000 0.5000 0.5000
As1 0.0000 0.5000 0.5000
Se1 0.5000 0.5000 0.0000
```

***

Record 3
DFT (PBE) results for a geometry-optimized KCrTc2 structure.

Values from the calculation:
calculated volume = 84.5 Å³/f.u.
Fermi-level density of states = 0.8661 states/eV/atom
magnetic moment = 0.00 μB per atom
energy of formation = 792.8 meV per atom
ρ = 5.64 g/cm3
raw total energy = -28.3 eV per cell
E above lowest polymorph = 4.28 kJ/mol of atoms

The structure in CIF format:
```
data_KCrTc2
_space_group_name_H-M_alt 'P 1 m 1'
_space_group_IT_number 6
_cell_length_a 2.8448
_cell_length_b 3.8301
_cell_length_c 7.8370
_cell_angle_alpha 90.00
_cell_angle_beta 98.16
_cell_angle_gamma 90.00
loop_
_space_group_symop_operation_xyz
'x,y,z'
'x,-y,z'
loop_
_atom_site_label
_atom_site_fract_x
_atom_site_fract_y
_atom_site_fract_z
K1 0.0000 0.0000 0.0000
Cr1 0.8146 0.5000 0.6419
Tc1 0.2737 0.0000 0.5148
Tc2 0.7107 0.5000 0.3617
```

***

Copy entry 2 word for word.
DFT (PBE) results for a geometry-optimized BSbAs2Se structure.

Values from the calculation:
calculated volume = 150.2 Å³/f.u.
Fermi-level density of states = 1.0805 states/eV/atom
formation energy (no corrections) = 1.689 eV per atom
magnetic moment = 0.16 μB per atom
ρ = 3.99 g/cm3
raw total energy = -15.1 eV per cell
E above lowest polymorph = 101.09 kJ/mol of atoms

The structure in CIF format:
```
data_BSbAs2Se
_space_group_name_H-M_alt 'P 4/m m m'
_space_group_IT_number 123
_space_group_name_Hall '-P 4 2'
_cell_length_a 5.2929
_cell_length_b 5.2929
_cell_length_c 5.3622
_cell_angle_alpha 90.00
_cell_angle_beta 90.00
_cell_angle_gamma 90.00
loop_
_atom_site_label
_atom_site_fract_x
_atom_site_fract_y
_atom_site_fract_z
B1 0.0000 0.0000 0.0000
Sb1 0.5000 0.5000 0.5000
As1 0.0000 0.5000 0.5000
Se1 0.5000 0.5000 0.0000
```